[1]
{"formula": "Dy2HoSc", "functional": "PBE-GGA", "state": "optimized geometry", "volume_a3_per_atom": 29.61, "formation_energy_ev_per_atom": 0.03, "e_above_lowest_polymorph_mev_per_atom": 0, "lattice": [[3.498, 0.000, 0.000], [-1.749, 3.029, 0.000], [0.000, 0.000, 33.546]], "species": ["Dy", "Dy", "Dy", "Dy", "Dy", "Dy", "Ho", "Ho", "Ho", "Sc", "Sc", "Sc"], "frac_coords": [[0.000, 0.000, 0.000], [0.000, 0.000, 0.160], [0.333, 0.667, 0.667], [0.333, 0.667, 0.827], [0.667, 0.333, 0.333], [0.667, 0.333, 0.494], [0.000, 0.000, 0.580], [0.333, 0.667, 0.247], [0.667, 0.333, 0.914], [0.000, 0.000, 0.746], [0.333, 0.667, 0.413], [0.667, 0.333, 0.080]]}

[2]
{"formula": "Sm4CoBi2", "functional": "PBE-GGA", "state": "optimized geometry", "volume_a3_per_atom": 30.56, "formation_energy_ev_per_atom": -0.50, "e_above_lowest_polymorph_mev_per_atom": 0, "lattice": [[5.023, 0.000, 0.000], [0.000, 5.023, 0.000], [0.000, 0.000, 16.953]], "species": ["Sm", "Sm", "Sm", "Sm", "Sm", "Sm", "Sm", "Sm", "Co", "Co", "Bi", "Bi", "Bi", "Bi"], "frac_coords": [[0.000, 0.000, 0.168], [0.000, 0.000, 0.832], [0.000, 0.500, 0.000], [0.000, 0.500, 0.500], [0.500, 0.000, 0.000], [0.500, 0.000, 0.500], [0.500, 0.500, 0.332], [0.500, 0.500, 0.668], [0.000, 0.000, 0.000], [0.500, 0.500, 0.500], [0.000, 0.000, 0.359], [0.000, 0.000, 0.641], [0.500, 0.500, 0.141], [0.500, 0.500, 0.859]]}

[3]
{"formula": "DyTe2Pd", "functional": "PBE-GGA", "state": "optimized geometry", "raw_formation_energy_kj_per_mol_fu": -289, "volume_a3_per_atom": 26.40, "e_above_lowest_polymorph_mev_per_atom": 0, "lattice": [[4.201, 0.000, 0.000], [-2.100, 3.638, 0.000], [0.000, 0.000, 20.730]], "species": ["Dy", "Dy", "Dy", "Te", "Te", "Te", "Te", "Te", "Te", "Pd", "Pd", "Pd"], "frac_coords": [[0.000, 0.000, 0.000], [0.333, 0.667, 0.667], [0.667, 0.333, 0.333], [0.000, 0.000, 0.242], [0.000, 0.000, 0.429], [0.333, 0.667, 0.095], [0.333, 0.667, 0.909], [0.667, 0.333, 0.576], [0.667, 0.333, 0.762], [0.000, 0.000, 0.838], [0.333, 0.667, 0.505], [0.667, 0.333, 0.171]]}

[4]
{"formula": "HfMn2Ir2", "functional": "PBE-GGA", "state": "optimized geometry", "volume_a3_per_atom": 14.55, "formation_energy_ev_per_atom": -0.16, "e_above_lowest_polymorph_mev_per_atom": 110, "lattice": [[7.305, 0.000, 0.000], [0.000, 7.305, 0.000], [0.000, 0.000, 2.727]], "species": ["Hf", "Hf", "Mn", "Mn", "Mn", "Mn", "Ir", "Ir", "Ir", "Ir"], "frac_coords": [[0.000, 0.000, 0.000], [0.500, 0.500, 0.000], [0.171, 0.329, 0.500], [0.329, 0.829, 0.500], [0.671, 0.171, 0.500], [0.829, 0.671, 0.500], [0.128, 0.628, 0.000], [0.372, 0.128, 0.000], [0.628, 0.872, 0.000], [0.872, 0.372, 0.000]]}

[5]
{"formula": "CaSm2Zn2In2", "functional": "PBE-GGA", "state": "optimized geometry", "volume_a3_per_atom": 26.62, "formation_energy_ev_per_atom": -0.29, "lattice": [[2.379, 1.373, 9.509], [-2.379, 1.373, 9.509], [0.000, -2.747, 9.509]], "species": ["Ca", "Sm", "Sm", "Zn", "Zn", "In", "In"], "frac_coords": [[0.000, 0.000, 0.000], [0.128, 0.128, 0.128], [0.872, 0.872, 0.872], [0.409, 0.409, 0.409], [0.591, 0.591, 0.591], [0.260, 0.260, 0.260], [0.740, 0.740, 0.740]]}

[6]
{"formula": "SiSnH3", "functional": "PBE-GGA", "state": "optimized geometry", "volume_a3_per_atom": 12.46, "e_above_lowest_polymorph_mev_per_atom": 358, "lattice": [[3.964, 0.000, 0.000], [0.000, 3.964, 0.000], [0.000, 0.000, 3.964]], "species": ["Si", "Sn", "H", "H", "H"], "frac_coords": [[0.000, 0.000, 0.000], [0.500, 0.500, 0.500], [0.000, 0.500, 0.500], [0.500, 0.000, 0.500], [0.500, 0.500, 0.000]]}

[7]
{"formula": "TcSb2TeS", "functional": "PBE-GGA", "state": "optimized geometry", "raw_formation_energy_kj_per_mol_fu": 263, "volume_a3_per_atom": 27.10, "e_above_lowest_polymorph_mev_per_atom": 0, "lattice": [[5.200, 0.000, 0.000], [0.000, 5.200, 0.000], [0.000, 0.000, 5.011]], "species": ["Tc", "Sb", "Sb", "Te", "S"], "frac_coords": [[0.000, 0.000, 0.000], [0.000, 0.500, 0.000], [0.500, 0.000, 0.000], [0.000, 0.000, 0.500], [0.500, 0.500, 0.500]]}

[8]
{"formula": "TbDy5Pd6", "functional": "PBE-GGA", "state": "optimized geometry", "volume_a3_per_atom": 21.61, "formation_energy_ev_per_atom": -0.88, "lattice": [[5.015, 0.000, 0.000], [0.000, 6.902, 0.000], [-2.465, 0.000, 7.493]], "species": ["Tb", "Dy", "Dy", "Dy", "Dy", "Dy", "Pd", "Pd", "Pd", "Pd", "Pd", "Pd"], "frac_coords": [[0.000, 0.000, 0.000], [0.000, 0.500, 0.000], [0.333, 0.000, 0.667], [0.333, 0.500, 0.667], [0.667, 0.000, 0.333], [0.667, 0.500, 0.333], [0.167, 0.250, 0.335], [0.167, 0.750, 0.335], [0.500, 0.251, 0.000], [0.500, 0.749, 0.000], [0.833, 0.250, 0.665], [0.833, 0.750, 0.665]]}